The following is a DFT calculation (GGA-PBE) of a relaxed structure of BaBiMo2Se.

Unit cell a=5.269 b=5.269 c=6.276 alpha=90.00 beta=90.00 gamma=90.00
Space group P4/mmm (No. 123)
Symmetry-distinct sites (fractional):
Ba1 0.000 0.000 0.000 x1
Bi1 0.000 0.000 0.500 x1
Mo1 0.000 0.500 0.000 x2
Se1 0.500 0.500 0.500 x1

total energy: -3.65 eV/atom
crystal system: tetragonal
relative energy among the computed polymorphs: 9.20 eV per formula unit
DOS(E_F): 5.82 states/eV per cell
energy relative to the elements, uncorrected: 2.541 eV/atom